Record 1
A geometry-optimized SrLa2Y structure, computed with GGA-PBE.

Results
The value obtained for the theoretical density is 4.85 g/cm3. The offset from the most stable computed form comes out at 0.60 kcal/mol of atoms. The calculation puts the total energy at -4.398 eV/atom. As for the formation enthalpy at 0 K: 0.10 eV per atom.

Lattice parameters (Å, degrees): 12.7313 12.7313 12.7313 17.09 17.09 17.09
Fractional positions:
La (0.9989, 0.9989, 0.9989)
La (0.7430, 0.7430, 0.7430)
Sr (0.5027, 0.5027, 0.5027)
Y (0.2554, 0.2554, 0.2554)

***

Record 2
A geometry-optimized SrLa2Y structure, computed with GGA-PBE.

Results
The value obtained for the theoretical density is 4.79 g/cm3. The offset from the most stable computed form comes out at 1.62 kcal/mol of atoms. The calculation puts the total energy at -4.354 eV/atom. As for the formation enthalpy at 0 K: 0.15 eV per atom.

Lattice parameters (Å, degrees): 3.6784 3.6784 12.5787 90.00 90.00 112.38
Fractional positions:
La (0.0000, 0.0000, 0.9755)
La (0.0000, 0.0000, 0.5245)
Sr (0.5000, 0.5000, 0.2500)
Y (0.5000, 0.5000, 0.7500)

***

Record 3
A geometry-optimized SrLaY2 structure, computed with GGA-PBE.

Results
The value obtained for the theoretical density is 4.47 g/cm3. The offset from the most stable computed form comes out at 2.53 kcal/mol of atoms. The calculation puts the total energy at -4.668 eV/atom. As for the formation enthalpy at 0 K: 0.22 eV per atom.

Lattice parameters (Å, degrees): 7.0954 7.0954 7.0954 147.02 128.73 62.33
Fractional positions:
La (0.2500, 0.7500, 0.5000)
Sr (0.7500, 0.2500, 0.5000)
Y (0.0047, 0.0047, 0.0000)
Y (0.4953, 0.4953, 0.0000)

***

Record 4
A geometry-optimized SrLa2Y structure, computed with GGA-PBE.

Results
The value obtained for the theoretical density is 4.83 g/cm3. The offset from the most stable computed form comes out at 0.50 kcal/mol of atoms. The calculation puts the total energy at -4.403 eV/atom. As for the formation enthalpy at 0 K: 0.10 eV per atom.

Lattice parameters (Å, degrees): 3.7932 3.7932 10.8604 90.00 90.00 90.00
Fractional positions:
La (0.0000, 0.0000, 0.9954)
La (0.5000, 0.5000, 0.2222)
Sr (0.0000, 0.0000, 0.5080)
Y (0.5000, 0.5000, 0.7743)

***

Record 5
A geometry-optimized SrLaY2 structure, computed with GGA-PBE.

Results
The value obtained for the theoretical density is 4.44 g/cm3. The offset from the most stable computed form comes out at 0.61 kcal/mol of atoms. The calculation puts the total energy at -4.751 eV/atom. As for the formation enthalpy at 0 K: 0.13 eV per atom.

Lattice parameters (Å, degrees): 5.0562 3.7562 8.8003 64.72 90.00 90.00
Fractional positions:
La (0.0000, 0.5332, 0.4665)
Sr (0.5000, 0.7448, 0.7552)
Y (0.0000, 0.9677, 0.0327)
Y (0.5000, 0.2543, 0.2456)

***

Record 6
A geometry-optimized SrLaY2 structure, computed with GGA-PBE.

Results
The value obtained for the theoretical density is 4.53 g/cm3. The offset from the most stable computed form comes out at 0.04 kcal/mol of atoms. The calculation puts the total energy at -4.776 eV/atom. As for the formation enthalpy at 0 K: 0.11 eV per atom.

Lattice parameters (Å, degrees): 3.7329 3.7329 12.4606 81.39 81.39 60.00
Fractional positions:
Sr (0.5005, 0.5005, 0.4986)
La (0.6662, 0.6662, 0.0015)
Y (0.0785, 0.0785, 0.7646)
Y (0.2549, 0.2549, 0.2354)

***

Record 7
A geometry-optimized SrLaY2 structure, computed with GGA-PBE.

Results
The value obtained for the theoretical density is 4.51 g/cm3. The offset from the most stable computed form comes out at 0.40 kcal/mol of atoms. The calculation puts the total energy at -4.760 eV/atom. As for the formation enthalpy at 0 K: 0.12 eV per atom.

Lattice parameters (Å, degrees): 12.4724 12.4724 12.4724 17.26 17.26 17.26
Fractional positions:
La (0.2500, 0.2500, 0.2500)
Sr (0.7500, 0.7500, 0.7500)
Y (0.9947, 0.9947, 0.9947)
Y (0.5053, 0.5053, 0.5053)

***

Record 8
A geometry-optimized SrLaY2 structure, computed with GGA-PBE.

Results
The value obtained for the theoretical density is 4.54 g/cm3. The offset from the most stable computed form comes out at 0.95 kcal/mol of atoms. The calculation puts the total energy at -4.736 eV/atom. As for the formation enthalpy at 0 K: 0.15 eV per atom.

Lattice parameters (Å, degrees): 6.4518 6.4518 6.5505 80.57 80.57 33.40
Fractional positions:
La (0.7500, 0.7500, 0.7500)
Sr (0.2500, 0.2500, 0.2500)
Y (0.0072, 0.0072, 0.9841)
Y (0.4928, 0.4928, 0.5159)

***

Record 9
A geometry-optimized SrLa2Y structure, computed with GGA-PBE.

Results
The value obtained for the theoretical density is 4.88 g/cm3. The offset from the most stable computed form comes out at 1.20 kcal/mol of atoms. The calculation puts the total energy at -4.372 eV/atom. As for the formation enthalpy at 0 K: 0.13 eV per atom.

Lattice parameters (Å, degrees): 6.5563 6.5563 6.6447 80.53 80.53 33.35
Fractional positions:
La (0.0002, 0.0002, 0.9908)
La (0.7424, 0.7424, 0.7788)
Sr (0.5012, 0.5012, 0.4920)
Y (0.2562, 0.2562, 0.2385)

***

Record 10
A geometry-optimized SrLa4Y structure, computed with GGA-PBE.

Results
The value obtained for the theoretical density is 5.12 g/cm3. The calculation puts the total energy at -4.436 eV/atom. As for the formation enthalpy at 0 K: 0.21 eV per atom.

Lattice parameters (Å, degrees): 6.9486 6.9486 6.9486 60.00 60.00 60.00
Fractional positions:
Sr (0.7500, 0.7500, 0.7500)
La (0.8930, 0.3690, 0.3690)
La (0.3690, 0.3690, 0.8930)
La (0.3690, 0.8930, 0.3690)
La (0.3690, 0.3690, 0.3690)
Y (0.0000, 0.0000, 0.0000)

***

Record 11
A geometry-optimized Sr2LaY structure, computed with GGA-PBE.

Results
The value obtained for the theoretical density is 3.96 g/cm3. The offset from the most stable computed form comes out at 2.89 kcal/mol of atoms. The calculation puts the total energy at -3.474 eV/atom. As for the formation enthalpy at 0 K: 0.21 eV per atom.

Lattice parameters (Å, degrees): 6.2049 6.2049 6.2049 60.00 60.00 60.00
Fractional positions:
La (0.5000, 0.5000, 0.5000)
Sr (0.0000, 0.0000, 0.0000)
Sr (0.2500, 0.2500, 0.2500)
Y (0.7500, 0.7500, 0.7500)

***

Record 12
A geometry-optimized SrLaY2 structure, computed with GGA-PBE.

Results
The value obtained for the theoretical density is 4.44 g/cm3. The offset from the most stable computed form comes out at 0.44 kcal/mol of atoms. The calculation puts the total energy at -4.758 eV/atom. As for the formation enthalpy at 0 K: 0.13 eV per atom.

Lattice parameters (Å, degrees): 3.7699 3.7699 10.6301 90.00 90.00 90.00
Fractional positions:
La (0.5000, 0.5000, 0.2500)
Sr (0.5000, 0.5000, 0.7500)
Y (0.0000, 0.0000, 0.0247)
Y (0.0000, 0.0000, 0.4753)

***

Record 13
A geometry-optimized Sr2LaY structure, computed with GGA-PBE.

Results
The value obtained for the theoretical density is 3.99 g/cm3. The offset from the most stable computed form comes out at 2.63 kcal/mol of atoms. The calculation puts the total energy at -3.485 eV/atom. As for the formation enthalpy at 0 K: 0.20 eV per atom.

Lattice parameters (Å, degrees): 13.1726 13.1726 13.1726 16.87 16.87 16.87
Fractional positions:
La (0.7500, 0.7500, 0.7500)
Sr (0.9978, 0.9978, 0.9978)
Sr (0.5022, 0.5022, 0.5022)
Y (0.2500, 0.2500, 0.2500)

***

Record 14
A geometry-optimized SrLa2Y structure, computed with GGA-PBE.

Results
The value obtained for the theoretical density is 4.83 g/cm3. The offset from the most stable computed form comes out at 0.22 kcal/mol of atoms. The calculation puts the total energy at -4.415 eV/atom. As for the formation enthalpy at 0 K: 0.09 eV per atom.

Lattice parameters (Å, degrees): 3.7833 3.7833 12.7793 81.49 81.49 60.00
Fractional positions:
Sr (0.4997, 0.4997, 0.5009)
La (0.0767, 0.0767, 0.7699)
La (0.2570, 0.2570, 0.2291)
Y (0.6666, 0.6666, 0.0001)

***

Record 15
A geometry-optimized SrLa2Y2 structure, computed with GGA-PBE.

Results
The value obtained for the theoretical density is 4.57 g/cm3. The offset from the most stable computed form comes out at 6.12 kcal/mol of atoms. The calculation puts the total energy at -4.531 eV/atom. As for the formation enthalpy at 0 K: 0.36 eV per atom.

Lattice parameters (Å, degrees): 4.8576 4.8576 9.0364 74.41 74.41 90.00
Fractional positions:
Y (0.4010, 0.4010, 0.1979)
Y (0.5990, 0.5990, 0.8021)
Sr (0.0000, 0.0000, 0.0000)
La (0.7500, 0.2500, 0.5000)
La (0.2500, 0.7500, 0.5000)

***

Record 16
A geometry-optimized Sr2LaY structure, computed with GGA-PBE.

Results
The value obtained for the theoretical density is 3.99 g/cm3. The offset from the most stable computed form comes out at 2.82 kcal/mol of atoms. The calculation puts the total energy at -3.477 eV/atom. As for the formation enthalpy at 0 K: 0.21 eV per atom.

Lattice parameters (Å, degrees): 6.4475 3.7423 7.0150 82.72 90.00 90.00
Fractional positions:
La (0.5000, 0.7500, 0.7500)
Sr (0.0000, 0.0067, 0.0035)
Sr (0.0000, 0.4933, 0.4965)
Y (0.5000, 0.2500, 0.2500)

***

Record 17
A geometry-optimized Sr2LaY structure, computed with GGA-PBE.

Results
The value obtained for the theoretical density is 3.88 g/cm3. The offset from the most stable computed form comes out at 0.00 kcal/mol of atoms. The calculation puts the total energy at -3.599 eV/atom. As for the formation enthalpy at 0 K: 0.09 eV per atom.

Lattice parameters (Å, degrees): 3.9344 3.9344 11.1398 90.00 90.00 90.02
Fractional positions:
La (0.5000, 0.5000, 0.7213)
Sr (0.0000, 0.0000, 0.9821)
Sr (0.5000, 0.5000, 0.2752)
Y (0.0000, 0.0000, 0.5214)

***

Record 18
A geometry-optimized Sr2La2Y structure, computed with GGA-PBE.

Results
The value obtained for the theoretical density is 4.40 g/cm3. The offset from the most stable computed form comes out at 0.00 kcal/mol of atoms. The calculation puts the total energy at -3.611 eV/atom. As for the formation enthalpy at 0 K: 0.33 eV per atom.

Lattice parameters (Å, degrees): 9.8322 9.8322 4.2328 90.00 90.00 90.00
Fractional positions:
Y (0.0000, 0.0000, 0.0000)
Y (0.5000, 0.5000, 0.0000)
Sr (0.1774, 0.6774, 0.5000)
Sr (0.6774, 0.8226, 0.5000)
Sr (0.8226, 0.3226, 0.5000)
Sr (0.3226, 0.1774, 0.5000)
La (0.3757, 0.8757, 0.0000)
La (0.8757, 0.6243, 0.0000)
La (0.6243, 0.1243, 0.0000)
La (0.1243, 0.3757, 0.0000)

***

Record 19
A geometry-optimized Sr2LaY structure, computed with GGA-PBE.

Results
The value obtained for the theoretical density is 3.96 g/cm3. The offset from the most stable computed form comes out at 3.67 kcal/mol of atoms. The calculation puts the total energy at -3.440 eV/atom. As for the formation enthalpy at 0 K: 0.25 eV per atom.

Lattice parameters (Å, degrees): 6.2049 6.2049 6.2049 60.00 60.00 60.00
Fractional positions:
Y (0.0000, 0.0000, 0.0000)
Sr (0.2500, 0.2500, 0.2500)
Sr (0.7500, 0.7500, 0.7500)
La (0.5000, 0.5000, 0.5000)

***

Record 20
A geometry-optimized SrLa2Y structure, computed with GGA-PBE.

Results
The value obtained for the theoretical density is 4.89 g/cm3. The offset from the most stable computed form comes out at 8.59 kcal/mol of atoms. The calculation puts the total energy at -4.051 eV/atom. As for the formation enthalpy at 0 K: 0.45 eV per atom.

Lattice parameters (Å, degrees): 9.3606 9.3606 7.4984 51.38 51.38 90.00
Fractional positions:
Y (0.0000, 0.0000, 0.0000)
Y (0.7500, 0.2500, 0.5000)
Sr (0.5000, 0.5000, 0.0000)
Sr (0.2500, 0.7500, 0.5000)
La (0.6389, 0.1250, 0.2500)
La (0.1111, 0.6250, 0.2500)
La (0.3750, 0.3611, 0.7500)
La (0.8750, 0.8889, 0.7500)